Entry from Alexandria: an optimized crystal structure of CdInHgI (PBE).

Its formation energy from raw total energies is -54.9 meV/atom. The calculation puts the density of states at the Fermi level at 0.058 states/eV per atom. The final energy comes out at -1.43 eV/atom. As for the density: 6.8 Mg/m³. The value obtained for the spin magnetization is 0.0 μB/f.u.

The structure belongs to space group F-43m (No. 216); the cell edges are 8.1660, 8.1660 and 8.1660 Å and the angles 90.00°, 90.00° and 90.00°. The asymmetric unit holds Cd at (0.0000, 0.0000, 0.0000), In at (0.2500, 0.2500, 0.2500), Hg at (0.2500, 0.2500, 0.7500) and I at (0.0000, 0.0000, 0.5000).

Entry from Alexandria: an optimized crystal structure of Cr2Ag (PBE).

The calculation puts the density of states at the Fermi level at 0.752 states/eV per atom. The final energy comes out at -6.03 eV/atom. As for the formation enthalpy at 0 K: 1337 meV/atom. As for the density: 6.5 Mg/m³. The value obtained for the spin magnetization is 0.0 μB/f.u.

The structure belongs to space group Pa-3 (No. 205); the cell edges are 5.9937, 5.9937 and 5.9937 Å and the angles 90.00°, 90.00° and 90.00°. The asymmetric unit holds Cr at (0.0864, 0.0864, 0.0864) and Ag at (0.0000, 0.0000, 0.5000).

Entry from Alexandria: an optimized crystal structure of Sm5Tm2Th4 (PBE).

The calculation puts the density of states at the Fermi level at 1.435 states/eV per atom. The final energy comes out at -5.49 eV/atom. As for the formation enthalpy at 0 K: 166 meV/atom. As for the density: 9.1 Mg/m³. The value obtained for the spin magnetization is 0.0 μB/f.u.

The structure belongs to space group P-1 (No. 2); the cell edges are 6.4625, 6.5874 and 10.0984 Å and the angles 104.07°, 96.25° and 114.76°. The asymmetric unit holds Sm at (0.0000, 0.0000, 0.0000), Sm at (0.0854, 0.3197, 0.3871), Sm at (0.4676, 0.7631, 0.7347), Tm at (0.4206, 0.1825, 0.5995), Th at (0.0286, 0.7558, 0.2705) and Th at (0.3515, 0.6517, 0.0444).

Entry from Alexandria: an optimized crystal structure of BaTbBeN2 (PBE).

Its formation energy from raw total energies is -806.0 meV/atom. The calculation puts the density of states at the Fermi level at 0.459 states/eV per atom. The final energy comes out at -6.19 eV/atom. As for the density: 5.4 Mg/m³. The value obtained for the spin magnetization is 0.0 μB/f.u.

The structure belongs to space group Pccm (No. 49); the cell edges are 5.2364, 5.7144 and 6.8488 Å and the angles 90.00°, 90.00° and 90.00°. The asymmetric unit holds Ba at (0.0000, 0.0000, 0.2500), Tb at (0.5000, 0.5000, 0.2500), Be at (0.0000, 0.5000, 0.0000) and N at (0.2414, 0.3445, 0.0000).

Entry from Alexandria: an optimized crystal structure of CaHI2 (PBE).

The calculation puts the density of states at the Fermi level at 0.000 states/eV per atom. The final energy comes out at -2.64 eV/atom. As for the density: 2.6 Mg/m³. The value obtained for the spin magnetization is 1.0 μB/f.u.

The structure belongs to space group I-42d (No. 122); the cell edges are 7.9731, 7.9731 and 12.0318 Å and the angles 90.00°, 90.00° and 90.00°. The asymmetric unit holds Ca at (0.0000, 0.0000, 0.0000), H at (0.0000, 0.0000, 0.5000) and I at (0.2116, 0.2500, 0.1250).

Entry from Alexandria: an optimized crystal structure of K2BaRhO4 (PBE).

Its formation energy from raw total energies is -1469.3 meV/atom. The final energy comes out at -5.38 eV/atom. As for the density: 4.4 Mg/m³. The value obtained for the spin magnetization is 3.0 μB/f.u.

The structure belongs to space group I-4m2 (No. 119); the cell edges are 6.3947, 6.3947 and 7.1386 Å and the angles 90.00°, 90.00° and 90.00°. The asymmetric unit holds K at (0.0000, 0.0000, 0.0000), K at (0.0000, 0.5000, 0.2500), Ba at (0.0000, 0.0000, 0.5000), Rh at (0.0000, 0.5000, 0.7500) and O at (0.2135, 0.2865, 0.7500).